Record 1
The following is a DFT calculation (GGA-PBE) of a relaxed structure of Li2CaOs.

- relative energy among the computed polymorphs (eV/atom) = 0.361
- uncorrected energy (eV/atom) = -3.570
- spin magnetization (μB/cell) = 0.00
- space group = I-42d (122)
- V (Å³ per atom) = 20.0
- ΔE_f (eV per atom) = 0.695

Cell: 4.0817 4.0817 10.0425 Å, 78.27 78.27 90.00°
With the nearest neighbours (Å) after each atom.
Sites, in units of the cell vectors:
Ca 0.5000 0.5000 0.0000  4 Os 2.89, 4 Li 2.93
Ca 0.2500 0.7500 0.5000  4 Os 2.89, 4 Li 2.93
Os 0.0000 0.0000 0.0000  4 Li 2.71, 4 Ca 2.89
Os 0.7500 0.2500 0.5000  4 Li 2.71, 4 Ca 2.89
Li 0.7000 0.1250 0.2500  2 Li 2.49, 2 Os 2.71
Li 0.0500 0.6250 0.2500  2 Li 2.49, 2 Os 2.71
Li 0.3750 0.3000 0.7500  2 Li 2.49, 2 Os 2.71
Li 0.8750 0.9500 0.7500  2 Li 2.49, 2 Os 2.71


Record 2
The following is a DFT calculation (GGA-PBE) of a relaxed structure of CaTa2.

- relative energy among the computed polymorphs (eV/atom) = 0.196
- uncorrected energy (eV/atom) = -7.963
- spin magnetization (μB/cell) = 0.00
- space group = I4/mmm (139)
- V (Å³ per atom) = 21.8
- ΔE_f (eV per atom) = 0.606

Cell: 8.1816 8.1816 8.1816 Å, 159.77 159.77 28.77°
With the nearest neighbours (Å) after each atom.
Sites, in units of the cell vectors:
Ca 0.0000 0.0000 0.0000  4 Ca 2.87
Ta 0.6796 0.6796 0.0000  8 Ta 2.87-3.02
Ta 0.3204 0.3204 0.0000  8 Ta 2.87-3.02


Record 3
The following is a DFT calculation (GGA-PBE) of a relaxed structure of SrLa3Tl2.

- relative energy among the computed polymorphs (eV/atom) = 0.104
- uncorrected energy (eV/atom) = -3.739
- spin magnetization (μB/cell) = 0.00
- space group = C2/m (12)
- V (Å³ per atom) = 34.9
- ΔE_f (eV per atom) = -0.206

Cell: 5.4141 10.1183 9.3581 Å, 120.84 90.00 105.52°
With the nearest neighbours (Å) after each atom.
Sites, in units of the cell vectors:
Sr 0.8818 0.7636 0.9481  5 Tl 3.50-3.69, 2 La 3.88
Sr 0.1182 0.2364 0.0519  5 Tl 3.50-3.69, 2 La 3.88
La 0.2974 0.5947 0.5970  2 Tl 3.23-3.29, 2 La 3.24
La 0.9341 0.8681 0.5712  3 Tl 3.38-3.64, 3 La 3.47-3.51
La 0.6218 0.2436 0.7085  4 Tl 3.24-3.44, 2 La 3.51
La 0.3782 0.7564 0.2915  4 Tl 3.24-3.44, 2 La 3.51
La 0.0659 0.1319 0.4288  3 Tl 3.38-3.64, 3 La 3.47-3.51
La 0.7026 0.4053 0.4030  2 Tl 3.23-3.29, 2 La 3.24
Tl 0.4930 0.9861 0.8265  1 Tl 3.11, 4 La 3.23-3.38
Tl 0.5070 0.0139 0.1735  1 Tl 3.11, 4 La 3.23-3.38
Tl 0.7638 0.5275 0.1356  5 La 3.29-3.64, 2 Tl 3.55, 1 Sr 3.56
Tl 0.2362 0.4725 0.8644  5 La 3.29-3.64, 2 Tl 3.55, 1 Sr 3.56


Record 4
The following is a DFT calculation (GGA-PBE) of a relaxed structure of La2ZnNi.

- uncorrected energy (eV/atom) = -4.524
- spin magnetization (μB/cell) = 0.00
- space group = P2_1/m (11)
- V (Å³ per atom) = 25.4
- ΔE_f (eV per atom) = -0.297

Cell: 4.6004 6.1026 7.7701 Å, 111.43 90.00 90.00°
With the nearest neighbours (Å) after each atom.
Sites, in units of the cell vectors:
La 0.7500 0.2091 0.4367  3 Ni 2.92-3.12, 3 Zn 3.05-3.12
La 0.2500 0.7909 0.5633  3 Ni 2.92-3.12, 3 Zn 3.05-3.12
La 0.2500 0.7554 0.0733  1 Ni 2.75
La 0.7500 0.2446 0.9267  1 Ni 2.75
Zn 0.2500 0.3405 0.2199  2 Ni 2.66
Zn 0.7500 0.6595 0.7801  2 Ni 2.66
Ni 0.7500 0.5763 0.2794  2 Zn 2.66, 2 La 2.75-2.92
Ni 0.2500 0.4237 0.7206  2 Zn 2.66, 2 La 2.75-2.92


Record 5
The following is a DFT calculation (GGA-PBE) of a relaxed structure of Sc2CrTc.

- relative energy among the computed polymorphs (eV/atom) = 0.008
- uncorrected energy (eV/atom) = -8.197
- spin magnetization (μB/cell) = 0.00
- space group = Imm2 (44)
- V (Å³ per atom) = 17.5
- ΔE_f (eV per atom) = -0.034

Cell: 5.4851 5.4851 4.6688 Å, 64.83 64.83 33.91°
With the nearest neighbours (Å) after each atom.
Sites, in units of the cell vectors:
Cr 0.2153 0.2153 0.2846  2 Tc 2.36
Sc 0.9879 0.9879 0.0122  4 Tc 2.86, 4 Cr 3.02-3.17, 6 Sc 3.07-3.20
Sc 0.7661 0.7661 0.7338  4 Cr 2.87, 2 Tc 2.96, 6 Sc 3.07-3.20
Tc 0.5307 0.5307 0.4694  2 Cr 2.36


Record 6
The following is a DFT calculation (GGA-PBE) of a relaxed structure of NaSr2US6.

- uncorrected energy (eV/atom) = -5.504
- spin magnetization (μB/cell) = 1.65
- space group = P2_1/c (14)
- V (Å³ per atom) = 26.2
- E_form (uncorrected) (eV/atom) = -1.43

Cell: 7.0680 7.6071 9.7887 Å, 90.00 85.24 90.00°
With the nearest neighbours (Å) after each atom.
Sites, in units of the cell vectors:
Na 0.5000 0.0000 0.0000  6 S 2.81-2.94
Na 0.0000 0.5000 0.5000  6 S 2.81-2.94
Sr 0.0362 0.9098 0.2664  7 S 3.00-3.27
Sr 0.5362 0.5902 0.7664  7 S 3.00-3.27
Sr 0.9638 0.0902 0.7336  7 S 3.00-3.27
Sr 0.4638 0.4098 0.2336  7 S 3.00-3.27
U 0.5000 0.0000 0.5000  6 S 2.52-2.57
U 0.0000 0.5000 0.0000  6 S 2.52-2.57
S 0.2903 0.6804 0.0553  1 U 2.56
S 0.7903 0.8196 0.5553  1 U 2.56
S 0.7097 0.3196 0.9447  1 U 2.56
S 0.2097 0.1804 0.4447  1 U 2.56
S 0.3363 0.7183 0.4246  1 U 2.57
S 0.8363 0.7817 0.9246  1 U 2.57
S 0.6637 0.2817 0.5754  1 U 2.57
S 0.1637 0.2183 0.0754  1 U 2.57
S 0.8600 0.5473 0.2419  1 U 2.52, 1 Na 2.81
S 0.3600 0.9527 0.7419  1 U 2.52, 1 Na 2.81
S 0.1400 0.4527 0.7581  1 U 2.52, 1 Na 2.81
S 0.6400 0.0473 0.2581  1 U 2.52, 1 Na 2.81


Record 7
The following is a DFT calculation (GGA-PBE) of a relaxed structure of GdSc2Sn.

- relative energy among the computed polymorphs (eV/atom) = 0.000
- uncorrected energy (eV/atom) = -8.102
- spin magnetization (μB/cell) = 8.38
- space group = P4/mmm (123)
- V (Å³ per atom) = 24.8
- ΔE_f (eV per atom) = -0.415

Cell: 4.5729 4.6548 4.6548 Å, 90.00 90.00 90.00°
With the nearest neighbours (Å) after each atom.
Sites, in units of the cell vectors:
Sc 0.0000 0.0000 0.5000  4 Gd 3.26, 4 Sn 3.26, 4 Sc 3.29
Sc 0.0000 0.5000 0.0000  4 Gd 3.26, 4 Sn 3.26, 4 Sc 3.29
Gd 0.5000 0.5000 0.5000  8 Sc 3.26, 4 Sn 3.29
Sn 0.5000 0.0000 0.0000  8 Sc 3.26, 4 Gd 3.29


Record 8
The following is a DFT calculation (GGA-PBE) of a relaxed structure of CaTl2Br3F.

- uncorrected energy (eV/atom) = -3.667
- spin magnetization (μB/cell) = 0.00
- space group = Immm (71)
- V (Å³ per atom) = 32.1
- E_form (uncorrected) (eV/atom) = -1.72

Cell: 4.3681 5.7124 9.6943 Å, 107.14 103.02 90.00°
With the nearest neighbours (Å) after each atom.
Sites, in units of the cell vectors:
Ca 0.0000 0.0000 0.0000  2 F 2.18
Tl 0.6517 0.6517 0.3033  7 Br 3.28-3.60
Tl 0.3483 0.3483 0.6967  7 Br 3.28-3.60
Br 0.0000 0.5000 0.0000  2 Ca 2.86
Br 0.1659 0.1659 0.3319  1 Ca 2.99, 1 Tl 3.28
Br 0.8341 0.8341 0.6681  1 Ca 2.99, 1 Tl 3.28
F 0.5000 0.0000 0.0000  2 Ca 2.18